Record 1
## ZnNiHIr2 (PBE)

Data for a relaxed structure of ZnNiHIr2.

Fermi-level density of states: 4.0 states/eV/cell
Raw total energy: -5.5978 eV per atom
Total magnetization: 0.00 μB/cell

Lattice parameters (Å, degrees): 3.9473 3.9473 3.6351 90.00 90.00 90.00
Space group P4/mmm (No. 123)
Inequivalent atoms, fractional coordinates:
1 Zn 0.0000 0.0000 0.0000 (multiplicity 1)
2 Ni 0.5000 0.5000 0.0000 (multiplicity 1)
3 H 0.5000 0.5000 0.5000 (multiplicity 1)
4 Ir 0.0000 0.5000 0.5000 (multiplicity 2)

***

Record 2
## Sm12H3Pd5 (PBE)

Data for a relaxed structure of Sm12H3Pd5.

Fermi-level density of states: 161.2 states/eV/cell
Raw total energy: -4.5221 eV per atom
Total magnetization: 27.06 μB/cell

Lattice parameters (Å, degrees): 16.6736 16.6736 16.6736 90.00 90.00 90.00
Space group Ia-3d (No. 230)
Inequivalent atoms, fractional coordinates:
1 Sm 0.0278 0.0812 0.6444 (multiplicity 96)
2 H 0.0000 0.2500 0.1250 (multiplicity 24)
3 Pd 0.0000 0.0000 0.0000 (multiplicity 16)
4 Pd 0.0000 0.2500 0.3750 (multiplicity 24)